Record 1
! PBE NaMo, optimized geometry; values from VASP
! * uncorrected energy: -22.0 eV per cell
! * energy relative to the lowest polymorph listed for this composition: 0.078 eV per atom
! * SG: P2_1/m (11)
&SYSTEM
  ibrav = 0, nat = 4, ntyp = 2
/
ATOMIC_SPECIES
Na 22.99 Na.upf
Mo 95.94 Mo.upf
ATOMIC_POSITIONS angstrom
Na 1.568 3.105 1.653
Na 4.317 2.453 4.246
Mo 6.384 4.889 3.459
Mo -0.500 0.669 2.440
CELL_PARAMETERS angstrom
-1.118 3.040 -0.127
-1.040 -0.256 3.028
8.043 2.774 2.998

***

Record 2
! PBE NaMo, optimized geometry; values from VASP
! * uncorrected energy: -20.8 eV per cell
! * energy relative to the lowest polymorph listed for this composition: 0.368 eV per atom
! * SG: C2/m (12)
&SYSTEM
  ibrav = 0, nat = 4, ntyp = 2
/
ATOMIC_SPECIES
Na 22.99 Na.upf
Mo 95.94 Mo.upf
ATOMIC_POSITIONS angstrom
Na 2.554 -2.788 0.804
Na -0.018 -2.488 1.338
Mo 0.591 -0.681 -1.258
Mo 1.980 0.381 0.724
CELL_PARAMETERS angstrom
-0.035 -4.975 2.676
1.182 -1.362 -2.517
3.960 0.762 1.448

***

Record 3
! PBE NaMo, optimized geometry; values from VASP
! * uncorrected energy: -62.1 eV per cell
! * energy relative to the lowest polymorph listed for this composition: 0.405 eV per atom
! * SG: R-3m (166)
&SYSTEM
  ibrav = 0, nat = 12, ntyp = 2
/
ATOMIC_SPECIES
Na 22.99 Na.upf
Mo 95.94 Mo.upf
ATOMIC_POSITIONS angstrom
Na 0.000 0.000 18.727
Na 0.000 0.000 2.271
Na 0.000 2.380 11.727
Na 0.000 2.380 16.269
Na 2.061 1.190 4.728
Na 2.061 1.190 9.270
Mo 0.000 0.000 7.004
Mo 0.000 0.000 13.994
Mo 0.000 2.380 0.005
Mo 0.000 2.380 6.995
Mo 2.061 1.190 14.003
Mo 2.061 1.190 20.993
CELL_PARAMETERS angstrom
4.122 0.000 0.000
-2.061 3.570 0.000
0.000 0.000 20.998

***

Record 4
! PBE NaMo, optimized geometry; values from VASP
! * uncorrected energy: -26.5 eV per cell
! * energy relative to the lowest polymorph listed for this composition: 2.265 eV per atom
! * SG: F-43m (216)
&SYSTEM
  ibrav = 0, nat = 8, ntyp = 2
/
ATOMIC_SPECIES
Na 22.99 Na.upf
Mo 95.94 Mo.upf
ATOMIC_POSITIONS angstrom
Na -0.503 3.107 0.034
Na -1.403 7.181 3.039
Na 1.470 7.693 -1.194
Na -3.589 6.878 -1.604
Mo 0.000 0.000 0.000
Mo -0.900 4.073 3.004
Mo 1.973 4.585 -1.228
Mo -3.086 3.771 -1.639
CELL_PARAMETERS angstrom
-0.213 4.283 -5.871
-5.959 3.259 2.593
4.159 4.888 3.415

***

Record 5
! PBE NaMo, optimized geometry; values from VASP
! * uncorrected energy: -41.4 eV per cell
! * energy relative to the lowest polymorph listed for this composition: 0.409 eV per atom
! * SG: C2/m (12)
&SYSTEM
  ibrav = 0, nat = 8, ntyp = 2
/
ATOMIC_SPECIES
Na 22.99 Na.upf
Mo 95.94 Mo.upf
ATOMIC_POSITIONS angstrom
Na 2.518 0.000 3.461
Na 0.847 0.000 5.563
Na 1.224 1.604 7.940
Na 2.140 1.604 1.084
Mo 5.376 0.000 1.442
Mo -2.011 0.000 7.582
Mo 4.082 1.604 5.921
Mo -0.718 1.604 3.103
CELL_PARAMETERS angstrom
5.951 0.000 0.066
0.000 3.208 0.000
-2.587 0.000 8.958

***

Record 6
! PBE NaMo, optimized geometry; values from VASP
! * uncorrected energy: -78.7 eV per cell
! * energy relative to the lowest polymorph listed for this composition: 0.659 eV per atom
! * SG: I4/m (87)
&SYSTEM
  ibrav = 0, nat = 16, ntyp = 2
/
ATOMIC_SPECIES
Na 22.99 Na.upf
Mo 95.94 Mo.upf
ATOMIC_POSITIONS angstrom
Na -2.543 -9.401 -4.964
Na -4.377 -4.764 -4.995
Na -1.707 -6.378 -3.353
Na -5.213 -7.786 -6.606
Na -10.023 -4.113 -7.288
Na 1.223 -10.779 -0.330
Na -6.106 -13.824 -7.161
Na -2.693 -1.068 -0.456
Mo -2.390 -3.235 -2.925
Mo -4.530 -10.929 -7.034
Mo -6.859 -5.021 -7.068
Mo -0.061 -9.143 -2.890
Mo -6.790 -10.681 -6.733
Mo -2.010 -4.211 -0.884
Mo -1.259 -11.037 -2.403
Mo -7.540 -3.855 -5.215
CELL_PARAMETERS angstrom
-9.999 -1.430 -8.474
3.080 -12.734 -1.485
-1.880 -0.728 2.341

***

Record 7
! PBE NaMo, optimized geometry; values from VASP
! * uncorrected energy: -13.8 eV per cell
! * energy relative to the lowest polymorph listed for this composition: 2.123 eV per atom
! * SG: P6_3/mmc (194)
&SYSTEM
  ibrav = 0, nat = 4, ntyp = 2
/
ATOMIC_SPECIES
Na 22.99 Na.upf
Mo 95.94 Mo.upf
ATOMIC_POSITIONS angstrom
Na 2.060 -2.696 1.084
Na -1.246 -5.585 0.117
Mo 0.609 -5.035 2.653
Mo 0.204 -3.246 -1.452
CELL_PARAMETERS angstrom
-0.926 -2.626 -4.771
4.640 -0.976 2.834
-2.901 -4.679 3.138

***

Record 8
! PBE NaMo4, optimized geometry; values from VASP
! * uncorrected energy: -31.4 eV per cell
! * SG: Pm-3m (221)
&SYSTEM
  ibrav = 0, nat = 5, ntyp = 2
/
ATOMIC_SPECIES
Na 22.99 Na.upf
Mo 95.94 Mo.upf
ATOMIC_POSITIONS angstrom
Na -1.112 0.306 3.684
Mo 0.000 0.000 0.000
Mo -2.467 -0.090 1.960
Mo -0.087 1.901 2.513
Mo 0.330 -1.200 2.896
CELL_PARAMETERS angstrom
-2.051 -3.191 2.343
2.711 0.790 3.450
-2.884 3.011 1.577

***

For each record above, in turn, the calculated ΔH_f (0 K) values are 0.5730 0.8631 0.8998 2.7604 0.9039 1.1542 2.6179 2.6483 eV per atom.